No. 1
{"formula": "K4BrCl", "functional": "GGA-PBE", "state": "optimized geometry", "magmom_total_mub_per_fu": 0.01, "e_form_raw_ev_per_fu": -3.6, "final_energy_ev_per_atom": -1.925, "cell": [[0.000, 5.291, 5.291], [5.291, 0.000, 5.291], [5.291, 5.291, 0.000]], "species": ["K", "K", "K", "K", "Br", "Cl"], "frac_coords": [[0.125, 0.125, 0.125], [0.125, 0.125, 0.625], [0.125, 0.625, 0.125], [0.625, 0.125, 0.125], [0.750, 0.750, 0.750], [0.500, 0.500, 0.500]]}


No. 2
{"formula": "Cs4Nd3SnO8", "functional": "GGA-PBE", "state": "optimized geometry", "magmom_total_mub_per_fu": 0.00, "e_form_raw_ev_per_fu": -34.5, "final_energy_ev_per_atom": -5.996, "cell": [[3.677, 2.123, 6.941], [-3.677, 2.123, 6.941], [0.000, -4.245, 6.941]], "species": ["Cs", "Cs", "Cs", "Cs", "Nd", "Nd", "Nd", "Sn", "O", "O", "O", "O", "O", "O", "O", "O"], "frac_coords": [[0.000, 0.000, 0.000], [0.000, 0.500, 0.500], [0.500, 0.000, 0.500], [0.500, 0.500, 0.000], [0.000, 0.000, 0.500], [0.000, 0.500, 0.000], [0.500, 0.000, 0.000], [0.500, 0.500, 0.500], [0.223, 0.223, 0.223], [0.228, 0.721, 0.721], [0.279, 0.279, 0.772], [0.279, 0.772, 0.279], [0.721, 0.228, 0.721], [0.721, 0.721, 0.228], [0.772, 0.279, 0.279], [0.777, 0.777, 0.777]]}


No. 3
{"formula": "CeTh5Pb5", "functional": "GGA-PBE", "state": "optimized geometry", "magmom_total_mub_per_fu": 0.67, "delta_e_f_ev_per_atom": -0.07, "final_energy_ev_per_atom": -5.663, "cell": [[7.108, -3.209, 0.000], [7.108, 3.209, 0.000], [-2.897, 0.000, 8.579]], "species": ["Ce", "Th", "Th", "Th", "Th", "Th", "Pb", "Pb", "Pb", "Pb", "Pb"], "frac_coords": [[0.000, 0.000, 0.000], [0.000, 0.000, 0.500], [0.338, 0.338, 0.661], [0.339, 0.339, 0.178], [0.661, 0.661, 0.822], [0.662, 0.662, 0.339], [0.166, 0.166, 0.332], [0.171, 0.171, 0.836], [0.500, 0.500, 0.000], [0.829, 0.829, 0.164], [0.834, 0.834, 0.668]]}


No. 4
{"formula": "MnIn2Hg", "functional": "GGA-PBE", "state": "optimized geometry", "magmom_total_mub_per_fu": 3.57, "delta_e_f_ev_per_atom": 0.19, "final_energy_ev_per_atom": -3.552, "cell": [[3.025, 0.000, 0.000], [0.000, 4.699, 0.000], [0.000, 0.000, 13.187]], "species": ["Mn", "Mn", "In", "In", "In", "In", "Hg", "Hg"], "frac_coords": [[0.000, 0.000, 0.000], [0.500, 0.500, 0.500], [0.000, 0.500, 0.313], [0.000, 0.500, 0.687], [0.500, 0.000, 0.187], [0.500, 0.000, 0.813], [0.000, 0.000, 0.500], [0.500, 0.500, 0.000]]}


No. 5
{"formula": "MgNb2Cr2", "functional": "GGA-PBE", "state": "optimized geometry", "relative_energy_mev_per_atom": 317.4, "magmom_total_mub_per_fu": 0.00, "delta_e_f_ev_per_atom": 0.60, "final_energy_ev_per_atom": -7.595, "cell": [[3.100, 0.000, 0.000], [0.000, 3.100, 0.000], [0.000, 0.000, 17.975]], "species": ["Mg", "Mg", "Nb", "Nb", "Nb", "Nb", "Cr", "Cr", "Cr", "Cr"], "frac_coords": [[0.000, 0.000, 0.000], [0.500, 0.500, 0.500], [0.000, 0.000, 0.380], [0.000, 0.000, 0.620], [0.500, 0.500, 0.120], [0.500, 0.500, 0.880], [0.000, 0.500, 0.250], [0.000, 0.500, 0.750], [0.500, 0.000, 0.250], [0.500, 0.000, 0.750]]}


No. 6
{"formula": "AsCSeBr2", "functional": "GGA-PBE", "state": "optimized geometry", "relative_energy_mev_per_atom": 287.5, "magmom_total_mub_per_fu": 1.08, "e_form_raw_ev_per_fu": 7.7, "final_energy_ev_per_atom": -2.595, "cell": [[5.218, 0.000, 0.000], [0.000, 5.218, 0.000], [0.000, 0.000, 5.207]], "species": ["As", "C", "Se", "Br", "Br"], "frac_coords": [[0.000, 0.000, 0.000], [0.500, 0.500, 0.500], [0.000, 0.000, 0.500], [0.000, 0.500, 0.000], [0.500, 0.000, 0.000]]}